Record 1
Ni3Rh: relaxed, PBE.

Lattice parameters (Å, degrees): 4.413 4.413 2.591 90.00 90.00 108.91
Fractional coordinates of all 4 atoms:
Ni: 0.000 0.000 0.000
Ni: 0.000 0.500 0.500
Ni: 0.500 0.000 0.500
Rh: 0.500 0.500 0.000

Output
crystal system	orthorhombic
DOS(E_F)	6.30	states/eV/cell
formation energy	0.15	eV/f.u.
size of the total moment	2.7	μB per formula unit


Record 2
NiRh: relaxed, PBE.

Lattice parameters (Å, degrees): 3.767 3.767 4.708 90.00 90.00 120.00
Fractional coordinates of all 4 atoms:
Ni: 0.000 0.000 0.000
Ni: 0.000 0.000 0.500
Rh: 0.333 0.667 0.250
Rh: 0.667 0.333 0.750

Output
crystal system	hexagonal
DOS(E_F)	7.26	states/eV/cell
formation energy	1.12	eV/f.u.
size of the total moment	1.2	μB per formula unit


Record 3
Ni2Rh: relaxed, PBE.

Lattice parameters (Å, degrees): 4.510 4.510 4.313 90.00 90.00 122.29
Fractional coordinates of all 6 atoms:
Ni: 0.161 0.839 0.000
Ni: 0.000 0.000 0.500
Ni: 0.839 0.161 0.000
Ni: 0.500 0.500 0.000
Rh: 0.664 0.336 0.500
Rh: 0.336 0.664 0.500

Output
crystal system	orthorhombic
DOS(E_F)	12.05	states/eV/cell
formation energy	0.46	eV/f.u.
size of the total moment	1.5	μB per formula unit


Record 4
Ni3Rh: relaxed, PBE.

Lattice parameters (Å, degrees): 4.146 5.155 5.155 60.00 90.00 90.00
Fractional coordinates of all 8 atoms:
Ni: 0.750 0.674 0.163
Ni: 0.750 0.163 0.163
Ni: 0.750 0.163 0.674
Ni: 0.250 0.326 0.837
Ni: 0.250 0.837 0.837
Ni: 0.250 0.837 0.326
Rh: 0.250 0.333 0.333
Rh: 0.750 0.667 0.667

Output
crystal system	hexagonal
DOS(E_F)	15.66	states/eV/cell
formation energy	0.14	eV/f.u.
size of the total moment	3.1	μB per formula unit


Record 5
Ni2Rh: relaxed, PBE.

Lattice parameters (Å, degrees): 2.634 10.509 2.634 90.00 90.00 90.00
Fractional coordinates of all 6 atoms:
Ni: 0.000 0.016 0.000
Ni: 0.500 0.173 0.500
Ni: 0.000 0.327 0.000
Ni: 0.500 0.484 0.500
Rh: 0.000 0.657 0.000
Rh: 0.500 0.843 0.500

Output
crystal system	tetragonal
DOS(E_F)	10.97	states/eV/cell
formation energy	0.18	eV/f.u.
size of the total moment	1.5	μB per formula unit


Record 6
Ni3Rh: relaxed, PBE.

Lattice parameters (Å, degrees): 4.601 4.601 4.601 90.00 90.00 90.00
Fractional coordinates of all 8 atoms:
Ni: 0.000 0.250 0.500
Ni: 0.000 0.750 0.500
Ni: 0.250 0.500 0.000
Ni: 0.500 0.000 0.250
Ni: 0.500 0.000 0.750
Ni: 0.750 0.500 0.000
Rh: 0.000 0.000 0.000
Rh: 0.500 0.500 0.500

Output
crystal system	cubic
DOS(E_F)	9.55	states/eV/cell
formation energy	0.52	eV/f.u.
size of the total moment	3.1	μB per formula unit


Record 7
Ni2Rh: relaxed, PBE.

Lattice parameters (Å, degrees): 7.085 7.085 2.593 90.00 90.00 120.00
Fractional coordinates of all 9 atoms:
Ni: 0.000 0.304 0.000
Ni: 0.000 0.638 0.500
Ni: 0.304 0.000 0.000
Ni: 0.696 0.696 0.000
Ni: 0.638 0.000 0.500
Ni: 0.362 0.362 0.500
Rh: 0.000 0.000 0.500
Rh: 0.333 0.667 0.000
Rh: 0.667 0.333 0.000

Output
crystal system	hexagonal
DOS(E_F)	10.92	states/eV/cell
formation energy	0.39	eV/f.u.
size of the total moment	2.5	μB per formula unit


Record 8
Ni2Rh: relaxed, PBE.

Lattice parameters (Å, degrees): 2.622 7.714 3.614 90.00 90.00 90.00
Fractional coordinates of all 6 atoms:
Ni: 0.000 0.013 0.000
Ni: 0.500 0.172 0.500
Ni: 0.000 0.328 0.000
Ni: 0.500 0.487 0.500
Rh: 0.000 0.658 0.000
Rh: 0.500 0.842 0.500

Output
crystal system	orthorhombic
DOS(E_F)	10.38	states/eV/cell
formation energy	0.15	eV/f.u.
size of the total moment	1.6	μB per formula unit